# 1
The following is a DFT calculation (PBE) of CrIn4Cl6 after structural relaxation.

Properties
calculated volume = 639.2 Å³/cell
SG = P4/mnc
uncorrected energy = -40.9 eV per formula unit
uncorrected formation energy = -9.2 eV/f.u.
density of states at the Fermi level = 7.67 states/eV per cell

CIF file:
```
data_CrIn4Cl6
_chemical_formula_sum 'Cr2 In8 Cl12'
_cell_length_a 8.429
_cell_length_b 8.429
_cell_length_c 8.997
_cell_angle_alpha 90.00
_cell_angle_beta 90.00
_cell_angle_gamma 90.00
_space_group_name_H-M_alt 'P 1'
_space_group_IT_number 1
_space_group_name_Hall 'P 1'
loop_
_atom_site_label
_atom_site_type_symbol
_atom_site_fract_x
_atom_site_fract_y
_atom_site_fract_z
Cr1 Cr 0.000 0.000 0.000
Cr2 Cr 0.500 0.500 0.500
In1 In 0.149 0.351 0.250
In2 In 0.149 0.351 0.750
In3 In 0.351 0.851 0.250
In4 In 0.351 0.851 0.750
In5 In 0.649 0.149 0.250
In6 In 0.649 0.149 0.750
In7 In 0.851 0.649 0.250
In8 In 0.851 0.649 0.750
Cl1 Cl 0.000 0.000 0.265
Cl2 Cl 0.000 0.000 0.735
Cl3 Cl 0.144 0.725 0.000
Cl4 Cl 0.225 0.644 0.500
Cl5 Cl 0.275 0.144 0.000
Cl6 Cl 0.356 0.225 0.500
Cl7 Cl 0.500 0.500 0.235
Cl8 Cl 0.500 0.500 0.765
Cl9 Cl 0.644 0.775 0.500
Cl10 Cl 0.725 0.856 0.000
Cl11 Cl 0.775 0.356 0.500
Cl12 Cl 0.856 0.275 0.000
```

# 2
The following is a DFT calculation (PBE) of CrIn2Cl after structural relaxation.

Properties
calculated volume = 99.3 Å³/cell
SG = Cmm2
uncorrected energy = -17.1 eV per formula unit
uncorrected formation energy = -0.2 eV/f.u.
density of states at the Fermi level = 1.72 states/eV per cell

CIF file:
```
data_CrIn2Cl
_chemical_formula_sum 'Cr1 In2 Cl1'
_cell_length_a 3.323
_cell_length_b 3.323
_cell_length_c 10.015
_cell_angle_alpha 90.00
_cell_angle_beta 90.00
_cell_angle_gamma 116.10
_space_group_name_H-M_alt 'P 1'
_space_group_IT_number 1
_space_group_name_Hall 'P 1'
loop_
_atom_site_label
_atom_site_type_symbol
_atom_site_fract_x
_atom_site_fract_y
_atom_site_fract_z
Cr1 Cr 0.000 0.000 0.000
In1 In 0.000 0.000 0.501
In2 In 0.500 0.500 0.772
Cl1 Cl 0.500 0.500 0.159
```

# 3
The following is a DFT calculation (PBE) of Cr2In2Cl7 after structural relaxation.

Properties
calculated volume = 751.6 Å³/cell
SG = P2_1/c
uncorrected energy = -47.0 eV per formula unit
uncorrected formation energy = -9.3 eV/f.u.
density of states at the Fermi level = 2.68 states/eV per cell

CIF file:
```
data_Cr2In2Cl7
_chemical_formula_sum 'Cr4 In4 Cl14'
_cell_length_a 7.041
_cell_length_b 13.854
_cell_length_c 7.722
_cell_angle_alpha 90.00
_cell_angle_beta 93.76
_cell_angle_gamma 90.00
_space_group_name_H-M_alt 'P 1'
_space_group_IT_number 1
_space_group_name_Hall 'P 1'
loop_
_atom_site_label
_atom_site_type_symbol
_atom_site_fract_x
_atom_site_fract_y
_atom_site_fract_z
Cr1 Cr 0.133 0.126 0.348
Cr2 Cr 0.133 0.374 0.848
Cr3 Cr 0.867 0.626 0.152
Cr4 Cr 0.867 0.874 0.652
In1 In 0.397 0.652 0.589
In2 In 0.397 0.848 0.089
In3 In 0.603 0.152 0.911
In4 In 0.603 0.348 0.411
Cl1 Cl 0.000 0.000 0.500
Cl2 Cl 0.000 0.500 0.000
Cl3 Cl 0.128 0.707 0.269
Cl4 Cl 0.128 0.793 0.769
Cl5 Cl 0.248 0.071 0.104
Cl6 Cl 0.248 0.429 0.604
Cl7 Cl 0.403 0.155 0.520
Cl8 Cl 0.403 0.345 0.020
Cl9 Cl 0.597 0.655 0.980
Cl10 Cl 0.597 0.845 0.480
Cl11 Cl 0.752 0.571 0.396
Cl12 Cl 0.752 0.929 0.896
Cl13 Cl 0.872 0.207 0.231
Cl14 Cl 0.872 0.293 0.731
```

# 4
The following is a DFT calculation (PBE) of Cr3InCl after structural relaxation.

Properties
calculated volume = 141.7 Å³/cell
SG = Pm-3m
uncorrected energy = -27.2 eV per formula unit
uncorrected formation energy = 6.2 eV/f.u.
density of states at the Fermi level = 4.06 states/eV per cell

CIF file:
```
data_Cr3InCl
_chemical_formula_sum 'Cr3 In1 Cl1'
_cell_length_a 5.213
_cell_length_b 5.213
_cell_length_c 5.213
_cell_angle_alpha 90.00
_cell_angle_beta 90.00
_cell_angle_gamma 90.00
_space_group_name_H-M_alt 'P 1'
_space_group_IT_number 1
_space_group_name_Hall 'P 1'
loop_
_atom_site_label
_atom_site_type_symbol
_atom_site_fract_x
_atom_site_fract_y
_atom_site_fract_z
Cr1 Cr 0.000 0.000 0.500
Cr2 Cr 0.000 0.500 0.000
Cr3 Cr 0.500 0.000 0.000
In1 In 0.000 0.000 0.000
Cl1 Cl 0.500 0.500 0.500
```

# 5
The following is a DFT calculation (PBE) of Cr2InCl after structural relaxation.

Properties
calculated volume = 76.4 Å³/cell
SG = P4/mmm
uncorrected energy = -22.5 eV per formula unit
uncorrected formation energy = 1.3 eV/f.u.
density of states at the Fermi level = 1.78 states/eV per cell

CIF file:
```
data_Cr2InCl
_chemical_formula_sum 'Cr2 In1 Cl1'
_cell_length_a 3.184
_cell_length_b 3.184
_cell_length_c 7.537
_cell_angle_alpha 90.00
_cell_angle_beta 90.00
_cell_angle_gamma 90.00
_space_group_name_H-M_alt 'P 1'
_space_group_IT_number 1
_space_group_name_Hall 'P 1'
loop_
_atom_site_label
_atom_site_type_symbol
_atom_site_fract_x
_atom_site_fract_y
_atom_site_fract_z
Cr1 Cr 0.000 0.000 0.248
Cr2 Cr 0.000 0.000 0.752
In1 In 0.500 0.500 0.500
Cl1 Cl 0.500 0.500 0.000
```

# 6
The following is a DFT calculation (PBE) of CrIn4Cl7 after structural relaxation.

Properties
calculated volume = 356.2 Å³/cell
SG = C2/m
uncorrected energy = -44.3 eV per formula unit
uncorrected formation energy = -10.7 eV/f.u.
density of states at the Fermi level = 3.57 states/eV per cell

CIF file:
```
data_CrIn4Cl7
_chemical_formula_sum 'Cr1 In4 Cl7'
_cell_length_a 10.615
_cell_length_b 10.615
_cell_length_c 7.419
_cell_angle_alpha 106.00
_cell_angle_beta 106.00
_cell_angle_gamma 26.38
_space_group_name_H-M_alt 'P 1'
_space_group_IT_number 1
_space_group_name_Hall 'P 1'
loop_
_atom_site_label
_atom_site_type_symbol
_atom_site_fract_x
_atom_site_fract_y
_atom_site_fract_z
Cr1 Cr 0.000 0.000 0.000
In1 In 0.315 0.315 0.757
In2 In 0.422 0.422 0.363
In3 In 0.578 0.578 0.637
In4 In 0.685 0.685 0.243
Cl1 Cl 0.069 0.069 0.315
Cl2 Cl 0.099 0.099 0.900
Cl3 Cl 0.283 0.283 0.332
Cl4 Cl 0.500 0.500 0.000
Cl5 Cl 0.717 0.717 0.668
Cl6 Cl 0.901 0.901 0.100
Cl7 Cl 0.931 0.931 0.685
```

# 7
The following is a DFT calculation (PBE) of Cr2InCl after structural relaxation.

Properties
calculated volume = 80.9 Å³/cell
SG = P2/m
uncorrected energy = -23.0 eV per formula unit
uncorrected formation energy = 0.8 eV/f.u.
density of states at the Fermi level = 1.78 states/eV per cell

CIF file:
```
data_Cr2InCl
_chemical_formula_sum 'Cr2 In1 Cl1'
_cell_length_a 3.361
_cell_length_b 3.218
_cell_length_c 7.477
_cell_angle_alpha 90.00
_cell_angle_beta 90.10
_cell_angle_gamma 90.00
_space_group_name_H-M_alt 'P 1'
_space_group_IT_number 1
_space_group_name_Hall 'P 1'
loop_
_atom_site_label
_atom_site_type_symbol
_atom_site_fract_x
_atom_site_fract_y
_atom_site_fract_z
Cr1 Cr 0.002 0.000 0.231
Cr2 Cr 0.998 0.000 0.769
In1 In 0.500 0.500 0.000
Cl1 Cl 0.000 0.500 0.500
```

# 8
The following is a DFT calculation (PBE) of Cr2InCl after structural relaxation.

Properties
calculated volume = 83.3 Å³/cell
SG = I-4m2
uncorrected energy = -21.7 eV per formula unit
uncorrected formation energy = 2.1 eV/f.u.
density of states at the Fermi level = 2.43 states/eV per cell

CIF file:
```
data_Cr2InCl
_chemical_formula_sum 'Cr2 In1 Cl1'
_cell_length_a 6.108
_cell_length_b 6.108
_cell_length_c 6.108
_cell_angle_alpha 142.65
_cell_angle_beta 142.65
_cell_angle_gamma 53.85
_space_group_name_H-M_alt 'P 1'
_space_group_IT_number 1
_space_group_name_Hall 'P 1'
loop_
_atom_site_label
_atom_site_type_symbol
_atom_site_fract_x
_atom_site_fract_y
_atom_site_fract_z
Cr1 Cr 0.000 0.000 0.000
Cr2 Cr 0.750 0.250 0.500
In1 In 0.250 0.750 0.500
Cl1 Cl 0.500 0.500 0.000
```